Entry 1:
This record from the Alexandria database describes an optimized crystal structure of RbPmPb2. The functional is PBE.

Unit cell a=4.2431 b=4.2431 c=8.3071 alpha=90.00 beta=90.00 gamma=90.00
Fractional coordinates of all 4 atoms:
Rb1 0.0000 0.0000 0.0000
Pm1 0.0000 0.0000 0.5000
Pb1 0.5000 0.5000 0.3126
Pb2 0.5000 0.5000 0.6874

Values from the calculation:
Distance to the lowest polymorph of the same formula   0.0 meV/atom
Raw total energy   -3.60 eV/atom
Formation energy   -1.3 eV per formula unit
Crystal system   tetragonal


Entry 2:
This record from the Alexandria database describes an optimized crystal structure of Th5ScSb5. The functional is PBE.

Unit cell a=7.5877 b=7.5877 c=8.7297 alpha=107.63 beta=107.63 gamma=48.63
Fractional coordinates of all 11 atoms:
Th1 0.0000 0.0000 0.0000
Th2 0.3282 0.3282 0.1584
Th3 0.3501 0.3501 0.7022
Th4 0.6499 0.6499 0.2978
Th5 0.6718 0.6718 0.8416
Sc1 0.0000 0.0000 0.5000
Sb1 0.1580 0.1580 0.8148
Sb2 0.1705 0.1705 0.3550
Sb3 0.5000 0.5000 0.5000
Sb4 0.8295 0.8295 0.6450
Sb5 0.8420 0.8420 0.1852

Values from the calculation:
Raw total energy   -6.49 eV/atom
Crystal system   monoclinic


Entry 3:
This record from the Alexandria database describes an optimized crystal structure of La5TlPb2. The functional is PBE.

Unit cell a=9.4114 b=9.4114 c=9.4114 alpha=124.78 beta=124.78 gamma=81.91
Fractional coordinates of all 16 atoms:
La1 0.0000 0.0000 0.0000
La2 0.0132 0.5132 0.8339
La3 0.1794 0.0132 0.5000
La4 0.3206 0.8206 0.8339
La5 0.4868 0.3206 0.5000
La6 0.5000 0.5000 0.0000
La7 0.5132 0.6794 0.5000
La8 0.6794 0.1794 0.1661
La9 0.8206 0.9868 0.5000
La10 0.9868 0.4868 0.1661
Tl1 0.2500 0.2500 0.0000
Tl2 0.7500 0.7500 0.0000
Pb1 0.1340 0.3660 0.5000
Pb2 0.3660 0.8660 0.2320
Pb3 0.6340 0.1340 0.7680
Pb4 0.8660 0.6340 0.5000

Values from the calculation:
Raw total energy   -4.76 eV/atom
Formation energy   -3.6 eV per formula unit
Crystal system   tetragonal


Entry 4:
This record from the Alexandria database describes an optimized crystal structure of FePAu2. The functional is PBE.

Unit cell a=3.0427 b=4.6278 c=4.7608 alpha=90.00 beta=93.79 gamma=90.00
Fractional coordinates of all 4 atoms:
Fe1 0.0000 0.0000 0.0000
P1 0.0000 0.0000 0.5000
Au1 0.2565 0.5000 0.7521
Au2 0.7435 0.5000 0.2479

Values from the calculation:
Raw total energy   -4.80 eV/atom
Formation energy   1.2 eV per formula unit
Crystal system   monoclinic


Entry 5:
This record from the Alexandria database describes an optimized crystal structure of Rb3Ce3RhO8. The functional is PBE.

Unit cell a=7.2056 b=7.2056 c=7.6684 alpha=117.60 beta=117.60 gamma=56.33
Fractional coordinates of all 15 atoms:
Rb1 0.0000 0.0000 0.0000
Rb2 0.0000 0.5000 0.0000
Rb3 0.5000 0.0000 0.0000
Ce1 0.0000 0.5000 0.5000
Ce2 0.5000 0.0000 0.5000
Ce3 0.5000 0.5000 0.5000
Rh1 0.0000 0.0000 0.5000
O1 0.1979 0.7319 0.6456
O2 0.2681 0.8021 0.3544
O3 0.2778 0.2778 0.3175
O4 0.2926 0.2926 0.7092
O5 0.7074 0.7074 0.2908
O6 0.7222 0.7222 0.6825
O7 0.7319 0.1979 0.6456
O8 0.8021 0.2681 0.3544

Values from the calculation:
Raw total energy   -6.86 eV/atom
Crystal system   monoclinic


Entry 6:
This record from the Alexandria database describes an optimized crystal structure of Tb4Dy5Ho2. The functional is PBE.

Unit cell a=12.4753 b=12.4753 c=12.4753 alpha=163.96 beta=137.63 gamma=45.58
Fractional coordinates of all 11 atoms:
Tb1 0.0969 0.0969 0.0000
Tb2 0.1942 0.5000 0.6942
Tb3 0.8058 0.5000 0.3058
Tb4 0.9031 0.9031 0.0000
Dy1 0.1552 0.3542 0.8011
Dy2 0.4469 0.6458 0.8011
Dy3 0.5000 0.0000 0.5000
Dy4 0.5531 0.3542 0.1989
Dy5 0.8448 0.6458 0.1989
Ho1 0.2309 0.2309 0.0000
Ho2 0.7691 0.7691 0.0000

Values from the calculation:
Distance to the lowest polymorph of the same formula   183.7 meV/atom
Raw total energy   -4.36 eV/atom
Formation energy   2.7 eV per formula unit
Crystal system   orthorhombic